Arrangement one

VASP calculation (PBE) on crystalline Re2Tc at its relaxed geometry.

Cell and atoms, written as extended XYZ:
```
12
Lattice="-1.952 1.952 11.715 1.952 -1.952 11.715 1.952 1.952 -11.715" Properties=species:S:1:pos:R:3 pbc="T T T"
Re 1.952 0.976 -2.936
Re 1.952 0.976 0.969
Re 0.000 0.976 2.921
Re 1.952 0.976 4.888
Re 0.000 0.976 6.827
Re 1.952 0.976 8.794
Re 0.000 0.976 10.746
Re 0.000 0.976 14.652
Tc 1.952 -0.976 6.834
Tc 1.952 -0.976 10.739
Tc 0.000 2.928 0.976
Tc 0.000 2.928 4.881
```

Arrangement two

VASP calculation (PBE) on crystalline Re2Tc at its relaxed geometry.

Cell and atoms, written as extended XYZ:
```
3
Lattice="3.728 0.000 0.000 0.000 3.728 0.000 0.000 0.000 3.775" Properties=species:S:1:pos:R:3 pbc="T T T"
Re 0.000 1.864 0.000
Re 1.864 0.000 0.000
Tc 0.000 0.000 1.887
```

Arrangement three

VASP calculation (PBE) on crystalline Re2Tc at its relaxed geometry.

Cell and atoms, written as extended XYZ:
```
6
Lattice="5.067 -1.388 0.000 5.067 1.388 0.000 -1.676 0.000 6.329" Properties=species:S:1:pos:R:3 pbc="T T T"
Re 0.000 0.000 0.000
Re -0.465 0.000 3.854
Re 2.265 0.000 4.217
Re 6.207 0.000 2.100
Tc 3.467 0.000 1.732
Tc 5.734 0.000 5.954
```

Stability verdict: arrangement three, ahead by 61 meV/atom

Arrangement one

VASP calculation (PBE) on crystalline Re2Tc at its relaxed geometry.

Cell and atoms, written as extended XYZ:
```
3
Lattice="-1.379 1.953 4.144 1.379 -1.953 4.144 1.379 1.953 -4.144" Properties=species:S:1:pos:R:3 pbc="T T T"
Re 0.000 0.000 1.381
Re 0.000 0.000 6.907
Tc 0.000 0.000 4.144
```

Arrangement two

VASP calculation (PBE) on crystalline Re2Tc at its relaxed geometry.

Cell and atoms, written as extended XYZ:
```
6
Lattice="-3.121 3.121 2.402 3.121 -3.121 2.402 3.121 3.121 -2.402" Properties=species:S:1:pos:R:3 pbc="T T T"
Re 3.993 0.872 0.000
Re 0.872 2.248 0.000
Re 2.248 0.872 2.402
Re -0.872 2.248 2.402
Tc 0.000 0.000 1.201
Tc 0.000 0.000 3.604
```

Stability verdict: arrangement one, ahead by 194 meV/atom

Arrangement one

VASP calculation (PBE) on crystalline Re2Tc at its relaxed geometry.

Cell and atoms, written as extended XYZ:
```
9
Lattice="6.349 0.000 0.000 -3.174 5.498 0.000 0.000 0.000 4.089" Properties=species:S:1:pos:R:3 pbc="T T T"
Re -0.794 1.375 0.000
Re -1.865 3.230 2.044
Re 1.588 0.000 0.000
Re 1.310 2.268 2.044
Re 3.730 0.000 2.044
Re 2.380 4.123 0.000
Tc 0.000 0.000 2.044
Tc 0.000 3.665 0.000
Tc 3.174 1.833 0.000
```

Arrangement two

VASP calculation (PBE) on crystalline Re2Tc at its relaxed geometry.

Cell and atoms, written as extended XYZ:
```
6
Lattice="4.350 0.000 0.000 -2.175 3.767 0.000 0.000 0.000 5.494" Properties=species:S:1:pos:R:3 pbc="T T T"
Re 0.000 0.000 0.000
Re 0.000 0.000 2.747
Re 0.000 2.512 1.373
Re 2.175 1.256 4.120
Tc 0.000 2.512 4.120
Tc 2.175 1.256 1.373
```

Arrangement three

VASP calculation (PBE) on crystalline Re2Tc at its relaxed geometry.

Cell and atoms, written as extended XYZ:
```
6
Lattice="4.155 -2.401 0.000 4.155 2.401 0.000 0.000 0.000 4.458" Properties=species:S:1:pos:R:3 pbc="T T T"
Re 1.384 0.799 1.114
Re 6.926 -0.799 3.343
Re 1.384 -0.799 3.343
Re 6.926 0.799 1.114
Tc 4.155 0.795 1.114
Tc 4.155 -0.795 3.343
```

Stability verdict: arrangement three, ahead by 139 meV/atom

Arrangement one

VASP calculation (PBE) on crystalline Re2Tc at its relaxed geometry.

Cell and atoms, written as extended XYZ:
```
3
Lattice="2.755 0.000 0.000 -1.377 2.386 0.000 0.000 0.000 6.799" Properties=species:S:1:pos:R:3 pbc="T T T"
Re 0.000 1.590 1.138
Re 1.377 0.795 5.661
Tc 0.000 0.000 3.399
```

Arrangement two

VASP calculation (PBE) on crystalline Re2Tc at its relaxed geometry.

Cell and atoms, written as extended XYZ:
```
3
Lattice="-1.381 1.381 5.847 1.381 -1.381 5.847 1.381 1.381 -5.847" Properties=species:S:1:pos:R:3 pbc="T T T"
Re 0.000 0.000 1.944
Re 0.000 0.000 9.749
Tc 0.000 0.000 5.847
```

Stability verdict: arrangement one, ahead by 9 meV/atom